The following is a DFT calculation (PBE+U) of a relaxed structure of AcTl2MoF8.

Output
Total DFT energy (no corrections): -64.7 eV/cell
Theoretical density: 6.56 g/cm³

abc: 4.341 7.848 6.583
angles: 90.00 94.22 90.00
Fractional positions:
Ac 0.000 0.000 0.000
Tl 0.500 0.270 0.500
Tl 0.500 0.730 0.500
Mo 0.000 0.500 0.000
F 0.063 0.279 0.809
F 0.063 0.721 0.809
F 0.406 0.500 0.192
F 0.499 0.000 0.793
F 0.501 0.000 0.207
F 0.594 0.500 0.808
F 0.937 0.279 0.191
F 0.937 0.721 0.191